Entry 1:
InCoBr2 after structural relaxation. Source: Alexandria via LeMat-Bulk, functional PBE.

total DFT energy (no corrections) = -3.423 eV/atom
formation energy from raw total energies = -0.13 eV per atom
magnetization = 0.547 μB per atom
offset from the most stable computed form = 51 meV/atom

Structure (CIF):
```
data_InCoBr2
_chemical_formula_sum 'In2 Co2 Br4'
_space_group_name_H-M_alt 'I m m m'
_space_group_IT_number 71
_space_group_name_Hall '-I 2 2'
_cell_length_a 3.536
_cell_length_b 5.307
_cell_length_c 12.647
_cell_angle_alpha 90.00
_cell_angle_beta 90.00
_cell_angle_gamma 90.00
loop_
_atom_site_label
_atom_site_fract_x
_atom_site_fract_y
_atom_site_fract_z
In1 0.000 0.000 0.000
Co1 0.000 0.000 0.500
Br1 0.000 0.500 0.142
```

Entry 2:
InCoBr2 after structural relaxation. Source: Alexandria via LeMat-Bulk, functional PBE.

total DFT energy (no corrections) = -3.154 eV/atom
formation energy from raw total energies = 0.14 eV per atom
magnetization = 0.606 μB per atom
offset from the most stable computed form = 320 meV/atom

Structure (CIF):
```
data_InCoBr2
_chemical_formula_sum 'In1 Co1 Br2'
_space_group_name_H-M_alt 'P 4/m m m'
_space_group_IT_number 123
_space_group_name_Hall '-P 4 2'
_cell_length_a 3.327
_cell_length_b 3.327
_cell_length_c 8.848
_cell_angle_alpha 90.00
_cell_angle_beta 90.00
_cell_angle_gamma 90.00
loop_
_atom_site_label
_atom_site_fract_x
_atom_site_fract_y
_atom_site_fract_z
In1 0.000 0.000 0.000
Co1 0.000 0.000 0.500
Br1 0.500 0.500 0.320
```

Entry 3:
InCoBr2 after structural relaxation. Source: Alexandria via LeMat-Bulk, functional PBE.

total DFT energy (no corrections) = -3.330 eV/atom
formation energy from raw total energies = -0.03 eV per atom
magnetization = 0.587 μB per atom
offset from the most stable computed form = 143 meV/atom

Structure (CIF):
```
data_InCoBr2
_chemical_formula_sum 'In2 Co2 Br4'
_space_group_name_H-M_alt 'C m m m'
_space_group_IT_number 65
_space_group_name_Hall '-C 2 2'
_cell_length_a 3.594
_cell_length_b 6.935
_cell_length_c 9.147
_cell_angle_alpha 90.00
_cell_angle_beta 90.00
_cell_angle_gamma 90.00
loop_
_atom_site_label
_atom_site_fract_x
_atom_site_fract_y
_atom_site_fract_z
In1 0.000 0.000 0.000
Co1 0.000 0.000 0.500
Br1 0.000 0.500 0.315
```

Entry 4:
InCoBr2 after structural relaxation. Source: Alexandria via LeMat-Bulk, functional PBE.

total DFT energy (no corrections) = -2.995 eV/atom
formation energy from raw total energies = 0.30 eV per atom
magnetization = 0.539 μB per atom
offset from the most stable computed form = 478 meV/atom

Structure (CIF):
```
data_InCoBr2
_chemical_formula_sum 'In1 Co1 Br2'
_space_group_name_H-M_alt 'P 4/m m m'
_space_group_IT_number 123
_space_group_name_Hall '-P 4 2'
_cell_length_a 5.295
_cell_length_b 5.295
_cell_length_c 3.591
_cell_angle_alpha 90.00
_cell_angle_beta 90.00
_cell_angle_gamma 90.00
loop_
_atom_site_label
_atom_site_fract_x
_atom_site_fract_y
_atom_site_fract_z
In1 0.000 0.000 0.000
Co1 0.500 0.500 0.000
Br1 0.000 0.500 0.500
```

Which value of offset from the most stable computed form does entry 2 give? 320 meV/atom

magnetization of number 1 (InCoBr2)? 0.547 μB per atom

The highest magnetization belongs to which entry? number 2

The lowest formation energy from raw total energies belongs to which entry? number 1